Run P
Computed, not measured: a relaxed structure of NbReN2 at the PBE level of DFT.

a b c (Å): 5.4985 5.4985 5.4985
angles (deg): 90.00 90.00 90.00
With the nearest neighbours (Å) after each atom.
Space group Fm-3m (No. 225)
Asymmetric unit:
Nb 0.0000 0.0000 0.0000 x4  8 N 2.38
Re 0.0000 0.0000 0.5000 x4  8 N 2.38
N 0.2500 0.2500 0.2500 x8  4 Nb 2.38, 4 Re 2.38


Run Q
Computed, not measured: a relaxed structure of NbReN2 at the PBE level of DFT.

a b c (Å): 4.3062 4.3062 10.9794
angles (deg): 90.00 90.00 90.00
With the nearest neighbours (Å) after each atom.
Space group I-42d (No. 122)
Asymmetric unit:
Nb 0.0000 0.0000 0.0000 x4  4 N 2.11
Re 0.0000 0.0000 0.5000 x4  4 N 1.99
N 0.2231 0.2500 0.6250 x8  2 Re 1.99, 2 Nb 2.11


Quick ranking, most stable first: run Q, run P.